8
Lattice="-2.580 2.580 6.725 2.580 -2.580 6.725 2.580 2.580 -6.725" Properties=species:S:1:pos:R:3 comment="PBE-GGA Zr6PbAu, relaxed" density_kg_m3=8825 n_ef_per_ev_cell=13.0 crystal_system=tetragonal total_magnetization_mub_per_atom=0.00 formation_energy_ev_per_atom=-0.16 pbc="T T T"
Zr 2.580 0.000 1.662
Zr 0.000 0.000 3.353
Zr 2.580 0.000 5.063
Zr 0.000 2.580 1.662
Zr 0.000 0.000 10.098
Zr 0.000 2.580 5.063
Pb 0.000 0.000 6.725
Au 0.000 0.000 0.000